This record from Alexandria describes a relaxed structure of Na4MnAl3Si3O16. The functional is PBE with a Hubbard U.

POSCAR file:
```
Na4MnAl3Si3O16
1.0
9.197 -0.008 0.000
-0.011 9.199 0.000
0.000 0.000 9.270
Na Mn Al Si O
8 2 6 6 32
Direct
0.226 0.273 0.224 Na
0.774 0.727 0.224 Na
0.276 0.775 0.272 Na
0.724 0.225 0.272 Na
0.272 0.226 0.725 Na
0.728 0.774 0.725 Na
0.224 0.724 0.772 Na
0.776 0.276 0.772 Na
0.000 0.500 0.001 Mn
0.500 0.000 0.502 Mn
0.249 0.002 0.996 Al
0.751 0.998 0.996 Al
0.500 0.500 0.251 Al
0.999 0.751 0.496 Al
0.001 0.249 0.496 Al
0.500 0.500 0.751 Al
0.501 0.251 0.001 Si
0.499 0.749 0.001 Si
0.000 0.000 0.245 Si
0.749 0.499 0.501 Si
0.251 0.501 0.501 Si
0.000 0.000 0.745 Si
0.645 0.152 0.035 O
0.355 0.848 0.035 O
0.466 0.343 0.148 O
0.534 0.657 0.148 O
0.143 0.039 0.147 O
0.857 0.961 0.147 O
0.035 0.854 0.340 O
0.965 0.146 0.340 O
0.350 0.541 0.360 O
0.650 0.459 0.360 O
0.357 0.989 0.401 O
0.643 0.011 0.401 O
0.157 0.355 0.461 O
0.843 0.645 0.461 O
0.152 0.645 0.535 O
0.848 0.355 0.535 O
0.489 0.143 0.602 O
0.511 0.857 0.602 O
0.343 0.466 0.648 O
0.657 0.534 0.648 O
0.039 0.143 0.647 O
0.961 0.857 0.647 O
0.146 0.965 0.840 O
0.854 0.035 0.840 O
0.459 0.650 0.860 O
0.541 0.350 0.860 O
0.009 0.643 0.901 O
0.991 0.357 0.901 O
0.355 0.157 0.961 O
0.645 0.843 0.961 O
0.144 0.491 0.102 O
0.856 0.509 0.102 O
```

Output
DFT total energy	-6.7888	eV/atom